Crystalline Pr4SbPb at its relaxed geometry, computed with PBE.

Unit cell a=5.683 b=7.931 c=10.471 alpha=115.33 beta=105.76 gamma=90.12
Fractional coordinates of all 12 atoms:
Pr 0.677 0.026 0.855
Pr 0.823 0.474 0.145
Pr 0.323 0.974 0.145
Pr 0.177 0.526 0.855
Pr 0.073 0.948 0.645
Pr 0.427 0.552 0.355
Pr 0.927 0.052 0.355
Pr 0.573 0.448 0.645
Sb 0.750 0.750 0.000
Sb 0.250 0.250 0.000
Pb 0.500 0.000 0.500
Pb 0.000 0.500 0.500

Values from the calculation:
ΔE_f (raw) in meV per atom: -434.7
Symmetry: C2/m, No. 12